DFT (GGA+U) results for a relaxed V3NO crystal.

Cell and atoms, written as POSCAR:
```
V3NO
1.0
4.169 0.000 0.000
0.000 4.169 0.000
0.000 0.000 4.169
V N O
3 1 1
Cartesian
0.000 0.000 2.085 V
0.000 2.085 0.000 V
2.085 0.000 0.000 V
0.000 0.000 0.000 N
2.085 2.085 2.085 O
```

Summary:
Final energy: -33.248 eV/cell
Space-group type: No. 221
M_tot: 9.30 μB/f.u.